## Nd2TlCoO6 (PBE+U)

Data for Nd2TlCoO6 after structural relaxation.

Lattice parameters (Å, degrees): 5.554 5.888 7.999 90.00 89.40 90.00
Sites, in units of the cell vectors:
Tl (0.500, 0.000, 0.500)
Tl (0.000, 0.500, 0.000)
Co (0.500, 0.000, 0.000)
Co (0.000, 0.500, 0.500)
O (0.328, 0.718, 0.066)
O (0.884, 0.545, 0.272)
O (0.116, 0.455, 0.728)
O (0.213, 0.179, 0.054)
O (0.172, 0.218, 0.434)
O (0.616, 0.045, 0.228)
O (0.828, 0.782, 0.566)
O (0.384, 0.955, 0.772)
O (0.713, 0.321, 0.554)
O (0.787, 0.821, 0.946)
O (0.672, 0.282, 0.934)
O (0.287, 0.679, 0.446)
Nd (0.021, 0.934, 0.249)
Nd (0.479, 0.434, 0.251)
Nd (0.979, 0.066, 0.751)
Nd (0.521, 0.566, 0.749)

Calculated values
* energy: -6.709 eV/atom
* symmetry: P2_1/c (14)
* crystal system: monoclinic